1.
This record from Alexandria via LeMat-Bulk describes a relaxed structure of GaHgPt2. The functional is GGA-PBE.

```
GaHgPt2
1.0
7.201 0.000 0.000
0.000 7.201 0.000
0.000 0.000 5.621
Ga Hg Pt
4 4 8
Cartesian
0.000 0.000 0.000 Ga
0.000 3.601 1.405 Ga
3.601 0.000 4.215 Ga
3.601 3.601 2.810 Ga
0.000 0.000 2.810 Hg
0.000 3.601 4.215 Hg
3.601 0.000 1.405 Hg
3.601 3.601 0.000 Hg
1.539 1.800 0.703 Pt
1.800 5.140 2.108 Pt
1.800 5.662 4.918 Pt
2.062 1.800 3.513 Pt
5.140 5.401 3.513 Pt
5.401 1.539 4.918 Pt
5.401 2.062 2.108 Pt
5.662 5.401 0.703 Pt
```

space-group type	No. 122
total magnetic moment	0.00	μB per cell
V	291	Å³/cell
formation energy	-133	meV/atom

2.
This record from Alexandria via LeMat-Bulk describes a relaxed structure of TlPbCl. The functional is GGA-PBE.

```
TlPbCl
1.0
7.470 0.000 0.000
0.000 7.470 0.000
0.000 0.000 7.470
Tl Pb Cl
4 4 4
Cartesian
0.000 0.000 0.000 Tl
0.000 3.735 3.735 Tl
3.735 0.000 3.735 Tl
3.735 3.735 0.000 Tl
1.868 1.868 5.603 Pb
1.868 5.603 1.868 Pb
5.603 1.868 1.868 Pb
5.603 5.603 5.603 Pb
0.000 0.000 3.735 Cl
0.000 3.735 0.000 Cl
3.735 0.000 0.000 Cl
3.735 3.735 3.735 Cl
```

space-group type	No. 216
total magnetic moment	1.62	μB per cell
energy relative to the elements, uncorrected	-0.117	eV per atom
V	417	Å³/cell

Number 1: final energy -63.77 eV/cell. Number 2: final energy -33.09 eV/cell.